PrDy2Sc3 | GGA-PBE | optimized geometry

Unit cell a=3.463 b=5.982 c=16.692 alpha=96.84 beta=90.00 gamma=90.00
Atoms (fractional coordinates):
Pr1 0.250 0.528 0.832
Pr2 0.750 0.472 0.168
Dy1 0.250 0.750 0.500
Dy2 0.750 0.250 0.500
Dy3 0.750 0.026 0.832
Dy4 0.250 0.974 0.168
Sc1 0.750 0.639 0.664
Sc2 0.250 0.361 0.336
Sc3 0.750 0.863 0.335
Sc4 0.250 0.137 0.665
Sc5 0.250 0.246 0.999
Sc6 0.750 0.754 0.001

Calculated values
Energy of formation (kcal/mol of atoms): 1.8
E_tot (eV/atom): -5.42

=====

Pr6Dy4Sc | GGA-PBE | optimized geometry

Unit cell a=9.904 b=9.904 c=9.904 alpha=56.14 beta=141.13 gamma=141.13
Atoms (fractional coordinates):
Pr1 0.000 0.814 0.458
Pr2 0.000 0.458 0.814
Pr3 0.356 0.542 0.542
Pr4 0.500 0.500 0.000
Pr5 0.644 0.186 0.186
Pr6 0.500 0.000 0.500
Dy1 0.000 0.644 0.011
Dy2 0.367 0.356 0.356
Dy3 0.000 0.011 0.644
Dy4 0.633 0.989 0.989
Sc1 0.000 0.000 0.000

Calculated values
Energy of formation (kcal/mol of atoms): 6.4
E_tot (eV/atom): -4.58

=====

Pr7Dy12Sc | GGA-PBE | optimized geometry

Unit cell a=8.762 b=8.762 c=8.762 alpha=92.63 beta=92.63 gamma=92.63
Atoms (fractional coordinates):
Pr1 0.878 0.631 0.953
Pr2 0.369 0.047 0.122
Pr3 0.047 0.122 0.369
Pr4 0.500 0.500 0.500
Pr5 0.953 0.878 0.631
Pr6 0.631 0.953 0.878
Pr7 0.122 0.369 0.047
Dy1 0.864 0.261 0.713
Dy2 0.739 0.287 0.136
Dy3 0.558 0.163 0.459
Dy4 0.837 0.541 0.442
Dy5 0.287 0.136 0.739
Dy6 0.541 0.442 0.837
Dy7 0.459 0.558 0.163
Dy8 0.713 0.864 0.261
Dy9 0.163 0.459 0.558
Dy10 0.442 0.837 0.541
Dy11 0.261 0.713 0.864
Dy12 0.136 0.739 0.287
Sc1 0.000 0.000 0.000

Calculated values
Energy of formation (kcal/mol of atoms): 5.8
E_tot (eV/atom): -4.50
Energy above the most stable polymorph in this dataset (eV per formula unit): 0.00

=====

Pr2Dy7Sc2 | GGA-PBE | optimized geometry

Unit cell a=3.504 b=10.718 c=10.718 alpha=62.32 beta=80.59 gamma=80.59
Atoms (fractional coordinates):
Pr1 0.000 0.810 0.190
Pr2 0.500 0.510 0.490
Dy1 0.783 0.026 0.408
Dy2 0.888 0.410 0.815
Dy3 0.500 0.097 0.903
Dy4 0.675 0.386 0.264
Dy5 0.325 0.736 0.614
Dy6 0.217 0.592 0.974
Dy7 0.112 0.185 0.590
Sc1 0.671 0.880 0.778
Sc2 0.329 0.222 0.120

Calculated values
Energy of formation (kcal/mol of atoms): 3.6
E_tot (eV/atom): -4.79

=====

Pr2Dy4Sc3 | GGA-PBE | optimized geometry

Unit cell a=3.515 b=3.515 c=25.648 alpha=90.00 beta=90.00 gamma=120.00
Atoms (fractional coordinates):
Pr1 0.667 0.333 0.088
Pr2 0.667 0.333 0.872
Dy1 0.000 0.000 0.546
Dy2 0.667 0.333 0.432
Dy3 0.667 0.333 0.227
Dy4 0.000 0.000 0.753
Sc1 0.000 0.000 0.981
Sc2 0.000 0.000 0.329
Sc3 0.667 0.333 0.650

Calculated values
Energy of formation (kcal/mol of atoms): 1.6
E_tot (eV/atom): -5.15

=====

PrDy14Sc | GGA-PBE | optimized geometry

Unit cell a=7.075 b=7.075 c=9.979 alpha=90.00 beta=90.00 gamma=89.99
Atoms (fractional coordinates):
Pr1 0.625 0.375 0.500
Dy1 0.125 0.875 0.000
Dy2 0.625 0.375 0.000
Dy3 0.125 0.375 0.500
Dy4 0.125 0.375 0.000
Dy5 0.625 0.875 0.500
Dy6 0.625 0.875 0.000
Dy7 0.372 0.122 0.749
Dy8 0.372 0.122 0.251
Dy9 0.878 0.628 0.749
Dy10 0.878 0.628 0.251
Dy11 0.372 0.628 0.749
Dy12 0.372 0.628 0.251
Dy13 0.877 0.123 0.749
Dy14 0.877 0.123 0.251
Sc1 0.125 0.875 0.500

Calculated values
Energy of formation (kcal/mol of atoms): 0.5
E_tot (eV/atom): -4.70

=====

PrDy6Sc | GGA-PBE | optimized geometry

Unit cell a=5.940 b=5.940 c=9.237 alpha=90.89 beta=114.47 gamma=109.38
Atoms (fractional coordinates):
Pr1 0.500 0.000 0.500
Dy1 0.361 0.446 0.296
Dy2 0.850 0.935 0.296
Dy3 0.150 0.065 0.704
Dy4 0.639 0.554 0.704
Dy5 0.700 0.362 0.061
Dy6 0.300 0.638 0.939
Sc1 0.000 0.000 0.000

Calculated values
Energy of formation (kcal/mol of atoms): 8.9
E_tot (eV/atom): -4.45
Energy above the most stable polymorph in this dataset (eV per formula unit): 2.78

=====

PrDy4Sc3 | GGA-PBE | optimized geometry

Unit cell a=3.325 b=8.609 c=8.610 alpha=81.69 beta=78.86 gamma=78.87
Atoms (fractional coordinates):
Pr1 0.500 0.000 0.000
Sc1 0.758 0.242 0.242
Sc2 0.242 0.758 0.758
Sc3 0.000 0.500 0.500
Dy1 0.633 0.122 0.612
Dy2 0.367 0.878 0.388
Dy3 0.367 0.388 0.878
Dy4 0.633 0.612 0.122

Calculated values
Energy of formation (kcal/mol of atoms): 4.2
E_tot (eV/atom): -5.09
Energy above the most stable polymorph in this dataset (eV per formula unit): 1.17

=====

Q: Which value of E_tot does entry 6 give?
A: -4.70 eV/atom